Compound: RbBI2N
Source: the Alexandria database
Functional: PBE
Structure: relaxed

```
RbBI2N
1.0
6.8232 0.0000 0.0000
0.0000 6.8232 0.0000
0.0000 0.0000 5.5217
Rb B I N
1 1 2 1
Cartesian
0.0000 0.0000 0.0000
3.4116 3.4116 2.7608
0.0000 3.4116 0.0000
3.4116 0.0000 0.0000
0.0000 0.0000 2.7608
```

Results
space-group type: No. 123
E: -10.42 eV/cell
spin magnetization: 3.03 μB per formula unit
distance to the lowest polymorph of the same formula: 1.951 eV per atom
E_form (uncorrected): 1.73 eV/atom